Sr8Ag2Au3 after structural relaxation. Source: Alexandria, functional PBE.

Lattice parameters (Å, degrees): 5.4648 11.0744 9.5400 125.49 90.00 90.00
With the nearest neighbours (Å) after each atom.
Sites, in units of the cell vectors:
1 Sr 0.0000 0.6217 0.2434  2 Au 3.26, 2 Ag 3.34
2 Sr 0.0000 0.3783 0.7566  2 Au 3.26, 2 Ag 3.34
3 Sr 0.0000 0.1185 0.2369  4 Au 3.29-3.42, 2 Ag 3.45, 1 Sr 3.68
4 Sr 0.0000 0.8815 0.7631  4 Au 3.29-3.42, 2 Ag 3.45, 1 Sr 3.68
5 Sr 0.5000 0.6334 0.7589  3 Au 3.31-3.32, 2 Ag 3.42-3.43
6 Sr 0.5000 0.1253 0.7587  3 Au 3.31-3.32, 2 Ag 3.42
7 Sr 0.5000 0.8747 0.2413  3 Au 3.31-3.32, 2 Ag 3.42
8 Sr 0.5000 0.3666 0.2411  3 Au 3.31-3.32, 2 Ag 3.42-3.43
9 Ag 0.5000 0.2543 0.5084  8 Sr 3.34-3.45
10 Ag 0.5000 0.7457 0.4916  8 Sr 3.34-3.45
11 Au 0.5000 0.0000 0.0000  8 Sr 3.29-3.31
12 Au 0.0000 0.2600 0.9998  8 Sr 3.26-3.42
13 Au 0.0000 0.7400 0.0002  8 Sr 3.26-3.42

As for the calculated density: 5.3 Mg/m³. The formation energy comes out at -420.5 meV per atom. The space-group type is Cmmm. As for the volume: 470.1 Å³/cell. The calculation puts the density of states at the Fermi level at 10.708 states/eV/cell.

***

Sc2TaV after structural relaxation. Source: Alexandria, functional PBE.

Lattice parameters (Å, degrees): 10.3672 10.3672 10.3672 16.64 16.64 16.64
With the nearest neighbours (Å) after each atom.
Sites, in units of the cell vectors:
1 Sc 0.9136 0.9136 0.9136  1 V 2.65
2 Sc 0.0864 0.0864 0.0864  1 V 2.65
3 Ta 0.5000 0.5000 0.5000  6 Ta 3.00, 6 Sc 3.01
4 V 0.0000 0.0000 0.0000  2 Sc 2.65

As for the calculated density: 6.7 Mg/m³. The formation energy comes out at 496.0 meV per atom. The space-group type is R-3m. As for the volume: 79.7 Å³/cell. The calculation puts the density of states at the Fermi level at 4.593 states/eV/cell.

***

Hg3BiF after structural relaxation. Source: Alexandria, functional PBE.

Lattice parameters (Å, degrees): 5.8999 5.8999 5.8999 90.00 90.00 90.00
With the nearest neighbours (Å) after each atom.
Sites, in units of the cell vectors:
1 F 0.5000 0.5000 0.5000  12 Hg 4.17
2 Bi 0.0000 0.0000 0.0000  6 Hg 2.95
3 Hg 0.0000 0.5000 0.0000  2 Bi 2.95
4 Hg 0.0000 0.0000 0.5000  2 Bi 2.95
5 Hg 0.5000 0.0000 0.0000  2 Bi 2.95

As for the electronic total energy: -7.4 eV for the cell shown. As for the calculated density: 6.7 Mg/m³. The space-group type is Pm-3m. As for the volume: 205.4 Å³/cell. The calculation puts the density of states at the Fermi level at 1.093 states/eV/cell.

***

Dy4Y3Sc2 after structural relaxation. Source: Alexandria, functional PBE.

Lattice parameters (Å, degrees): 5.9241 9.9097 9.9097 69.82 84.38 84.38
With the nearest neighbours (Å) after each atom.
Sites, in units of the cell vectors:
1 Dy 0.5460 0.0491 0.8214  3 Dy 3.34-3.46, 4 Y 3.38-3.47, 1 Sc 3.44
2 Dy 0.9540 0.1786 0.9509  3 Dy 3.34-3.46, 4 Y 3.38-3.47, 1 Sc 3.44
3 Dy 0.4540 0.9509 0.1786  3 Dy 3.34-3.46, 4 Y 3.38-3.47, 1 Sc 3.44
4 Dy 0.0460 0.8214 0.0491  3 Dy 3.34-3.46, 4 Y 3.38-3.47, 1 Sc 3.44
5 Dy 0.6056 0.8270 0.6146  2 Sc 3.19-3.28, 4 Y 3.36-3.53, 1 Dy 3.46
6 Dy 0.8944 0.3854 0.1730  2 Sc 3.19-3.28, 4 Y 3.36-3.53, 1 Dy 3.46
7 Dy 0.3944 0.1730 0.3854  2 Sc 3.19-3.28, 4 Y 3.36-3.53, 1 Dy 3.46
8 Dy 0.1056 0.6146 0.8270  2 Sc 3.19-3.28, 4 Y 3.36-3.53, 1 Dy 3.46
9 Y 0.0785 0.9833 0.6770  1 Sc 3.25, 7 Dy 3.36-3.53, 1 Y 3.61
10 Y 0.4215 0.3230 0.0167  1 Sc 3.25, 7 Dy 3.36-3.53, 1 Y 3.61
11 Y 0.9215 0.0167 0.3230  1 Sc 3.25, 7 Dy 3.36-3.53, 1 Y 3.61
12 Y 0.5785 0.6770 0.9833  1 Sc 3.25, 7 Dy 3.36-3.53, 1 Y 3.61
13 Y 0.2500 0.3579 0.6421  6 Sc 3.31-3.46, 4 Dy 3.38-3.61
14 Y 0.7500 0.6421 0.3579  6 Sc 3.31-3.46, 4 Dy 3.38-3.61
15 Sc 0.2026 0.7136 0.4851  3 Dy 3.19-3.44, 1 Sc 3.21, 4 Y 3.25-3.46
16 Sc 0.2974 0.5149 0.2864  3 Dy 3.19-3.44, 1 Sc 3.21, 4 Y 3.25-3.46
17 Sc 0.7974 0.2864 0.5149  3 Dy 3.19-3.44, 1 Sc 3.21, 4 Y 3.25-3.46
18 Sc 0.7026 0.4851 0.7136  3 Dy 3.19-3.44, 1 Sc 3.21, 4 Y 3.25-3.46

As for the calculated density: 6.2 Mg/m³. The formation energy comes out at 107.7 meV per atom. The space-group type is C2/c. As for the volume: 542.1 Å³/cell. The calculation puts the density of states at the Fermi level at 27.040 states/eV/cell.

***

Dy6Cu2Ni after structural relaxation. Source: Alexandria, functional PBE.

Lattice parameters (Å, degrees): 6.6271 7.0826 9.8528 90.00 86.77 90.00
With the nearest neighbours (Å) after each atom.
Sites, in units of the cell vectors:
1 Dy 0.8516 0.9729 0.2491  1 Ni 2.72, 2 Cu 2.88
2 Dy 0.8131 0.6810 0.5624  1 Ni 2.63, 2 Cu 2.90
3 Dy 0.8457 0.6804 0.9310  1 Ni 2.68, 1 Cu 2.85
4 Dy 0.6543 0.1804 0.5690  1 Ni 2.68, 1 Cu 2.85
5 Dy 0.6869 0.1810 0.9376  1 Ni 2.63, 2 Cu 2.90
6 Dy 0.6484 0.4729 0.2509  1 Ni 2.72, 2 Cu 2.88
7 Dy 0.1484 0.0271 0.7509  1 Ni 2.72, 2 Cu 2.88
8 Dy 0.1869 0.3190 0.4376  1 Ni 2.63, 2 Cu 2.90
9 Dy 0.1543 0.3196 0.0690  1 Ni 2.68, 1 Cu 2.85
10 Dy 0.3457 0.8196 0.4310  1 Ni 2.68, 1 Cu 2.85
11 Dy 0.3131 0.8190 0.0624  1 Ni 2.63, 2 Cu 2.90
12 Dy 0.3516 0.5271 0.7491  1 Ni 2.72, 2 Cu 2.88
13 Cu 0.9449 0.3855 0.7415  6 Dy 2.85-3.01
14 Cu 0.5551 0.8855 0.7585  6 Dy 2.85-3.01
15 Cu 0.4449 0.1145 0.2415  6 Dy 2.85-3.01
16 Cu 0.0551 0.6145 0.2585  6 Dy 2.85-3.01
17 Ni 0.5000 0.5000 0.0000  6 Dy 2.63-2.72
18 Ni 0.0000 0.0000 0.5000  6 Dy 2.63-2.72

As for the calculated density: 8.3 Mg/m³. The formation energy comes out at -131.0 meV per atom. The space-group type is P2_1/c. As for the volume: 461.7 Å³/cell. The calculation puts the density of states at the Fermi level at 20.670 states/eV/cell.

***

Pr6Nd3Sm after structural relaxation. Source: Alexandria, functional PBE.

Lattice parameters (Å, degrees): 6.5644 11.2671 11.2671 120.79 90.00 90.00
With the nearest neighbours (Å) after each atom.
Sites, in units of the cell vectors:
1 Pr 0.0577 0.7103 0.6303  4 Nd 3.51-3.92, 5 Pr 3.57-3.90
2 Pr 0.5577 0.6303 0.7103  4 Nd 3.51-3.92, 5 Pr 3.57-3.90
3 Pr 0.3735 0.5267 0.9422  1 Pr 3.19, 1 Sm 3.35, 2 Nd 3.38-3.52
4 Pr 0.8735 0.9422 0.5267  1 Pr 3.19, 1 Sm 3.35, 2 Nd 3.38-3.52
5 Pr 0.3560 0.9665 0.0335  1 Sm 3.48, 2 Pr 3.54, 4 Nd 3.62-3.65
6 Pr 0.6497 0.2803 0.7197  2 Pr 3.19, 1 Sm 3.49, 1 Nd 3.51
7 Pr 0.1497 0.7197 0.2803  2 Pr 3.19, 1 Sm 3.49, 1 Nd 3.51
8 Pr 0.8560 0.0335 0.9665  1 Sm 3.48, 2 Pr 3.54, 4 Nd 3.62-3.65
9 Pr 0.3735 0.0578 0.4733  1 Pr 3.19, 1 Sm 3.35, 2 Nd 3.38-3.52
10 Pr 0.8735 0.4733 0.0578  1 Pr 3.19, 1 Sm 3.35, 2 Nd 3.38-3.52
11 Pr 0.0577 0.3697 0.2897  4 Nd 3.51-3.92, 5 Pr 3.57-3.90
12 Pr 0.5577 0.2897 0.3697  4 Nd 3.51-3.92, 5 Pr 3.57-3.90
13 Nd 0.4608 0.9426 0.7065  1 Sm 3.34, 6 Pr 3.38-3.65, 1 Nd 3.71
14 Nd 0.9608 0.7065 0.9426  1 Sm 3.34, 6 Pr 3.38-3.65, 1 Nd 3.71
15 Nd 0.0880 0.3829 0.6172  7 Pr 3.51-3.92, 2 Nd 3.71, 1 Sm 3.78
16 Nd 0.5880 0.6172 0.3829  7 Pr 3.51-3.92, 2 Nd 3.71, 1 Sm 3.78
17 Nd 0.9608 0.0574 0.2935  1 Sm 3.34, 6 Pr 3.38-3.65, 1 Nd 3.71
18 Nd 0.4608 0.2935 0.0574  1 Sm 3.34, 6 Pr 3.38-3.65, 1 Nd 3.71
19 Sm 0.1076 0.1898 0.8102  2 Nd 3.34, 6 Pr 3.35-3.73
20 Sm 0.6076 0.8102 0.1898  2 Nd 3.34, 6 Pr 3.35-3.73

As for the calculated density: 6.6 Mg/m³. The formation energy comes out at 127.1 meV per atom. The space-group type is Cmc2_1. As for the volume: 715.9 Å³/cell. The calculation puts the density of states at the Fermi level at 26.792 states/eV/cell.

***

LiHo2Ga6Fe after structural relaxation. Source: Alexandria, functional PBE.

Lattice parameters (Å, degrees): 5.5789 7.3258 6.4181 60.78 64.21 90.03
With the nearest neighbours (Å) after each atom.
Sites, in units of the cell vectors:
1 Li 0.5000 0.5000 0.0000  6 Ga 2.46-2.61
2 Ho 0.3324 0.7428 0.3358  7 Ga 2.92-3.21, 1 Li 3.27
3 Ho 0.6676 0.2572 0.6642  7 Ga 2.92-3.21, 1 Li 3.27
4 Ga 0.3382 0.8466 0.7858  1 Fe 2.44, 2 Ga 2.58-2.70, 1 Li 2.61
5 Ga 0.8761 0.8474 0.7850  1 Fe 2.44, 2 Ga 2.58-2.70, 1 Li 2.61
6 Ga 0.2468 0.2663 0.5061  1 Fe 2.43, 1 Li 2.46, 2 Ga 2.70
7 Ga 0.6618 0.1534 0.2142  1 Fe 2.44, 2 Ga 2.58-2.70, 1 Li 2.61
8 Ga 0.1239 0.1526 0.2150  1 Fe 2.44, 2 Ga 2.58-2.70, 1 Li 2.61
9 Ga 0.7532 0.7337 0.4939  1 Fe 2.43, 1 Li 2.46, 2 Ga 2.70
10 Fe 0.0000 0.0000 0.0000  6 Ga 2.43-2.44

As for the calculated density: 6.8 Mg/m³. The formation energy comes out at -256.0 meV per atom. The space-group type is P-1. As for the volume: 198.4 Å³/cell. The calculation puts the density of states at the Fermi level at 4.380 states/eV/cell.

***

PuAsN after structural relaxation. Source: Alexandria, functional PBE.

Lattice parameters (Å, degrees): 4.8926 5.1607 7.8717 90.00 90.00 90.00
With the nearest neighbours (Å) after each atom.
Sites, in units of the cell vectors:
1 Pu 0.7500 0.5002 0.1548  1 N 2.11
2 Pu 0.7500 0.9998 0.6548  1 N 2.11
3 Pu 0.2500 0.4998 0.8452  1 N 2.11
4 Pu 0.2500 0.0002 0.3452  1 N 2.11
5 As 0.5000 0.0000 0.0000  2 As 2.45
6 As 0.5000 0.5000 0.5000  2 As 2.45
7 As 0.0000 0.5000 0.5000  2 As 2.45
8 As 0.0000 0.0000 0.0000  2 As 2.45
9 N 0.7500 0.4999 0.8865  1 Pu 2.11
10 N 0.2500 0.9999 0.6135  1 Pu 2.11
11 N 0.7500 0.0001 0.3865  1 Pu 2.11
12 N 0.2500 0.5001 0.1135  1 Pu 2.11

As for the electronic total energy: -113.7 eV for the cell shown. As for the calculated density: 11.1 Mg/m³. The space-group type is Cmcm. As for the volume: 198.8 Å³/cell. The calculation puts the density of states at the Fermi level at 31.409 states/eV/cell.